This record from Alexandria describes V3AsRu after structural relaxation. The functional is GGA-PBE.

Unit cell a=4.556 b=4.556 c=4.556 alpha=90.00 beta=90.00 gamma=90.00
Site moments in Bohr magnetons follow the coordinates.
Atoms (fractional coordinates):
V: 0.000 0.000 0.500  0.88
Ru: 0.000 0.000 0.000  -0.18
As: 0.500 0.500 0.500  -0.07
V: 0.500 0.000 0.000  0.88
V: 0.000 0.500 0.000  0.88

Summary:
Energy above the most stable polymorph in this dataset ... 36.3 meV per atom
Formation energy ... 458 kJ/mol of formula units
Total moment ... 2.67 μB per formula unit
DOS at the Fermi energy ... 1.784 states/eV/atom